# Cu2S3O12, optimized geometry, DFT GGA-PBEsol
data_Cu2S3O12
_cell_length_a 8.1074
_cell_length_b 8.4986
_cell_length_c 13.8723
_cell_angle_alpha 90.00
_cell_angle_beta 124.54
_cell_angle_gamma 90.00
_symmetry_space_group_name_H-M 'P 1 21/c 1'
_symmetry_Int_Tables_number 14
loop_
_symmetry_equiv_pos_as_xyz
'x,y,z'
'-x,-y,-z'
'-x,y+1/2,-z+1/2'
'x,-y+1/2,z+1/2'
loop_
_atom_site_label
_atom_site_type_symbol
_atom_site_fract_x
_atom_site_fract_y
_atom_site_fract_z
Cu1 Cu 0.1337 0.0309 0.3865
Cu2 Cu 0.3642 0.0379 0.1126
S1 S 0.0343 0.6194 0.6460
S2 S 0.2587 0.1218 0.6529
S3 S 0.4539 0.7481 0.9949
O1 O 0.0325 0.7234 0.1920
O2 O 0.1289 0.5073 0.7453
O3 O 0.1330 0.0711 0.6938
O4 O 0.1493 0.0985 0.5253
O5 O 0.1583 0.6202 0.5987
O6 O 0.1751 0.0694 0.9425
O7 O 0.2536 0.6802 0.9504
O8 O 0.2887 0.2058 0.1768
O9 O 0.3940 0.1249 0.4395
O10 O 0.4468 0.0300 0.7150
O11 O 0.4493 0.6920 0.3926
O12 O 0.4956 0.6272 0.5800
# M_tot: 15.5 μB per cell
# raw formation energy: -988 meV/atom
# raw total energy: -5.977 eV/atom
# N(E_F): 0.190 states/eV/atom


# Cu2SO5, optimized geometry, DFT GGA-PBEsol
data_Cu2SO5
_cell_length_a 9.3021
_cell_length_b 6.2910
_cell_length_c 7.6625
_cell_angle_alpha 90.00
_cell_angle_beta 122.69
_cell_angle_gamma 90.00
_symmetry_space_group_name_H-M 'C 1 2/m 1'
_symmetry_Int_Tables_number 12
loop_
_symmetry_equiv_pos_as_xyz
'x,y,z'
'-x,-y,-z'
'-x,y,-z'
'x,-y,z'
'x+1/2,y+1/2,z'
'-x+1/2,-y+1/2,-z'
'-x+1/2,y+1/2,-z'
'x+1/2,-y+1/2,z'
loop_
_atom_site_label
_atom_site_type_symbol
_atom_site_fract_x
_atom_site_fract_y
_atom_site_fract_z
Cu1 Cu 0.0792 0.0000 0.2194
Cu2 Cu 0.2500 0.2500 0.0000
S1 S 0.0919 0.5000 0.3117
O1 O 0.0216 0.3052 0.7514
O2 O 0.1500 0.0000 0.0193
O3 O 0.1909 0.5000 0.2154
O4 O 0.1969 0.5000 0.5398
# M_tot: 1.4 μB per cell
# raw formation energy: -931 meV/atom
# raw total energy: -5.843 eV/atom
# N(E_F): 0.287 states/eV/atom


Number 1: V 196.8 Å³/f.u.. Number 2: V 94.3 Å³/f.u..